Run one
## SmMg4Be8 (GGA-PBE)

Data for SmMg4Be8 after structural relaxation.

Summary:
- total magnetic moment (μB per formula unit) = 0.0

Cell: 8.747 8.747 4.759 Å, 90.00 90.00 90.00°
Space group I4/mmm (No. 139)
Unique sites:
Sm 0.000 0.000 0.000 [2 per cell]
Mg 0.000 0.241 0.500 [8 per cell]
Be 0.000 0.355 0.000 [8 per cell]
Be 0.250 0.250 0.250 [8 per cell]

=====

Run two
## SmMg4Be8 (GGA-PBE)

Data for SmMg4Be8 after structural relaxation.

Summary:
- total magnetic moment (μB per formula unit) = 0.0

Cell: 8.352 8.352 5.468 Å, 90.00 90.00 90.00°
Space group I4/mmm (No. 139)
Unique sites:
Sm 0.000 0.000 0.000 [2 per cell]
Mg 0.250 0.250 0.250 [8 per cell]
Be 0.000 0.216 0.500 [8 per cell]
Be 0.000 0.372 0.000 [8 per cell]

=====

Run three
## SmMg4Be8 (GGA-PBE)

Data for SmMg4Be8 after structural relaxation.

Summary:
- total magnetic moment (μB per formula unit) = 0.0

Cell: 8.598 8.598 4.802 Å, 90.00 90.00 90.00°
Space group I4/mmm (No. 139)
Unique sites:
Sm 0.000 0.000 0.000 [2 per cell]
Mg 0.000 0.342 0.000 [8 per cell]
Be 0.000 0.202 0.500 [8 per cell]
Be 0.250 0.250 0.250 [8 per cell]

=====

Energy above the most stable structure, in eV/atom: run one 0.148; run two 0.228; run three 0.000

=====

Run one
## SmMg4Be4Zn4 (GGA-PBE)

Data for SmMg4Be4Zn4 after structural relaxation.

Summary:
- total magnetic moment (μB per formula unit) = 0.0

Cell: 8.800 8.800 5.564 Å, 90.00 90.00 90.00°
Space group I4/mmm (No. 139)
Unique sites:
Sm 0.000 0.000 0.000 [2 per cell]
Mg 0.250 0.250 0.250 [8 per cell]
Be 0.000 0.369 0.000 [8 per cell]
Zn 0.000 0.242 0.500 [8 per cell]

=====

Run two
## SmMg4Be4Zn4 (GGA-PBE)

Data for SmMg4Be4Zn4 after structural relaxation.

Summary:
- total magnetic moment (μB per formula unit) = 0.0

Cell: 9.026 9.026 5.197 Å, 90.00 90.00 90.00°
Space group I4/mmm (No. 139)
Unique sites:
Sm 0.000 0.000 0.000 [2 per cell]
Mg 0.000 0.240 0.500 [8 per cell]
Be 0.000 0.365 0.000 [8 per cell]
Zn 0.250 0.250 0.250 [8 per cell]

=====

Energy above the most stable structure, in eV/atom: run one 0.016; run two 0.000

=====

Run one
## SmMg4Be4Zn4 (GGA-PBE)

Data for SmMg4Be4Zn4 after structural relaxation.

Summary:
- total magnetic moment (μB per formula unit) = 0.0

Cell: 8.916 8.916 5.092 Å, 90.00 90.00 90.00°
Space group I4/mmm (No. 139)
Unique sites:
Sm 0.000 0.000 0.000 [2 per cell]
Mg 0.000 0.347 0.000 [8 per cell]
Be 0.000 0.196 0.500 [8 per cell]
Zn 0.250 0.250 0.250 [8 per cell]

=====

Run two
## SmMg4Be4Zn4 (GGA-PBE)

Data for SmMg4Be4Zn4 after structural relaxation.

Summary:
- total magnetic moment (μB per formula unit) = 0.0

Cell: 8.954 8.954 4.986 Å, 90.00 90.00 90.00°
Space group I4/mmm (No. 139)
Unique sites:
Sm 0.000 0.000 0.000 [2 per cell]
Mg 0.000 0.344 0.000 [8 per cell]
Be 0.250 0.250 0.250 [8 per cell]
Zn 0.000 0.213 0.500 [8 per cell]

=====

Run three
## SmMg4Be4Zn4 (GGA-PBE)

Data for SmMg4Be4Zn4 after structural relaxation.

Summary:
- total magnetic moment (μB per formula unit) = 0.0

Cell: 8.979 8.979 5.082 Å, 90.00 90.00 90.00°
Space group I4/mmm (No. 139)
Unique sites:
Sm 0.000 0.000 0.000 [2 per cell]
Mg 0.000 0.231 0.500 [8 per cell]
Be 0.250 0.250 0.250 [8 per cell]
Zn 0.000 0.344 0.000 [8 per cell]

=====

Run four
## SmMg4Be4Zn4 (GGA-PBE)

Data for SmMg4Be4Zn4 after structural relaxation.

Summary:
- total magnetic moment (μB per formula unit) = 0.0

Cell: 8.691 8.691 5.686 Å, 90.00 90.00 90.00°
Space group I4/mmm (No. 139)
Unique sites:
Sm 0.000 0.000 0.000 [2 per cell]
Mg 0.250 0.250 0.250 [8 per cell]
Be 0.000 0.185 0.500 [8 per cell]
Zn 0.000 0.358 0.000 [8 per cell]

=====

Energy above the most stable structure, in eV/atom: run one 0.043; run two 0.000; run three 0.097; run four 0.142

=====

Run one
## TmMgBe (GGA-PBE)

Data for TmMgBe after structural relaxation.

Summary:
- total magnetic moment (μB per formula unit) = 0.1

Cell: 6.715 6.715 6.715 Å, 90.00 90.00 90.00°
Space group F-43m (No. 216)
Unique sites:
Tm 0.000 0.000 0.000 [4 per cell]
Mg 0.250 0.250 0.250 [4 per cell]
Be 0.250 0.250 0.750 [4 per cell]

=====

Run two
## TmMgBe (GGA-PBE)

Data for TmMgBe after structural relaxation.

Summary:
- total magnetic moment (μB per formula unit) = 0.0

Cell: 6.511 6.511 6.511 Å, 90.00 90.00 90.00°
Space group F-43m (No. 216)
Unique sites:
Tm 0.000 0.000 0.000 [4 per cell]
Mg 0.250 0.250 0.750 [4 per cell]
Be 0.000 0.000 0.500 [4 per cell]

=====

Energy above the most stable structure, in eV/atom: run one 0.204; run two 0.000

=====

Run one
## MgBeZn (GGA-PBE)

Data for MgBeZn after structural relaxation.

Cell: 5.818 5.818 5.818 Å, 90.00 90.00 90.00°
Space group F-43m (No. 216)
Unique sites:
Mg 0.000 0.000 0.000 [4 per cell]
Be 0.250 0.250 0.250 [4 per cell]
Zn 0.000 0.000 0.500 [4 per cell]

=====

Run two
## MgBeZn (GGA-PBE)

Data for MgBeZn after structural relaxation.

Cell: 6.017 6.017 6.017 Å, 90.00 90.00 90.00°
Space group F-43m (No. 216)
Unique sites:
Mg 0.000 0.000 0.000 [4 per cell]
Be 0.250 0.250 0.750 [4 per cell]
Zn 0.250 0.250 0.250 [4 per cell]

=====

Energy above the most stable structure, in eV/atom: run one 0.000; run two 0.395

=====

Run one
## BeMo (GGA-PBE)

Data for BeMo after structural relaxation.

Summary:
- total magnetic moment (μB per formula unit) = 0.0

Cell: 5.025 5.025 5.025 Å, 90.00 90.00 90.00°
Space group F-43m (No. 216)
Unique sites:
Be 0.000 0.000 0.000 [4 per cell]
Mo 0.250 0.250 0.750 [4 per cell]

=====

Run two
## BeMo (GGA-PBE)

Data for BeMo after structural relaxation.

Summary:
- total magnetic moment (μB per formula unit) = 0.0

Cell: 2.7059 2.7059 4.1303 Å, 90.00 90.00 120.00°
Space group P-6m2 (No. 187)
Unique sites:
Be 0.0000 0.0000 0.0000 [1 per cell]
Mo 0.6667 0.3333 0.5000 [1 per cell]

=====

Energy above the most stable structure, in eV/atom: run one 1.452; run two 0.000